1.
## CeSi2Ru (PBE-GGA)

Data for a geometry-optimized CeSi2Ru structure.

Results
The density of states at the Fermi level comes out at 1.01 states/eV per atom. The value obtained for the formation energy without anion corrections is -0.30 eV/atom. The value obtained for the volume is 69.5 Å³/cell. For the total magnetization, the calculation gives 0.22 μB per formula unit.

Unit cell a=4.501 b=4.501 c=4.501 alpha=63.55 beta=63.55 gamma=63.55
Element x y z (fractional)
Ce  0.000  0.000  0.000
Si  0.262  0.262  0.262
Si  0.738  0.738  0.738
Ru  0.500  0.500  0.500

---

2.
## TlInHgAu2 (PBE-GGA)

Data for a geometry-optimized TlInHgAu2 structure.

Results
The density of states at the Fermi level comes out at 0.28 states/eV per atom. The value obtained for the volume is 253.5 Å³/cell. For the total magnetization, the calculation gives 0.00 μB per formula unit. The value obtained for the energy of formation is -0.053 eV/atom.

Unit cell a=7.861 b=7.861 c=8.847 alpha=116.46 beta=116.46 gamma=31.54
Element x y z (fractional)
Tl  0.248  0.248  0.167
Tl  0.752  0.752  0.833
In  0.039  0.039  0.720
In  0.961  0.961  0.280
Hg  0.369  0.369  0.689
Hg  0.631  0.631  0.311
Au  0.157  0.157  0.554
Au  0.415  0.415  0.048
Au  0.585  0.585  0.952
Au  0.843  0.843  0.446

---

3.
## CaMg6Pb6 (PBE-GGA)

Data for a geometry-optimized CaMg6Pb6 structure.

Results
The density of states at the Fermi level comes out at 0.38 states/eV per atom. The value obtained for the volume is 351.3 Å³/cell. For the total magnetization, the calculation gives 0.00 μB per formula unit. The value obtained for the energy of formation is -0.113 eV/atom. The energy above the lowest structure with this stoichiometry is 0.000 eV per atom.

Unit cell a=8.134 b=8.134 c=8.134 alpha=134.98 beta=100.67 gamma=96.20
Element x y z (fractional)
Ca  0.000  0.000  0.000
Mg  0.000  0.000  0.500
Mg  0.000  0.500  0.000
Mg  0.246  0.500  0.746
Mg  0.500  0.000  0.000
Mg  0.500  0.500  0.500
Mg  0.754  0.500  0.254
Pb  0.167  0.667  0.500
Pb  0.337  0.337  0.000
Pb  0.338  0.000  0.338
Pb  0.662  0.000  0.662
Pb  0.663  0.663  0.000
Pb  0.833  0.333  0.500

---

Q: volume of number 2 (TlInHgAu2)?
A: 253.5 Å³/cell

---

Copy entry 1 word for word.
## CeSi2Ru (PBE-GGA)

Data for a geometry-optimized CeSi2Ru structure.

Results
The density of states at the Fermi level comes out at 1.01 states/eV per atom. The value obtained for the formation energy without anion corrections is -0.30 eV/atom. The value obtained for the volume is 69.5 Å³/cell. For the total magnetization, the calculation gives 0.22 μB per formula unit.

Unit cell a=4.501 b=4.501 c=4.501 alpha=63.55 beta=63.55 gamma=63.55
Element x y z (fractional)
Ce  0.000  0.000  0.000
Si  0.262  0.262  0.262
Si  0.738  0.738  0.738
Ru  0.500  0.500  0.500

---

Repeat the third record exactly.
## CaMg6Pb6 (PBE-GGA)

Data for a geometry-optimized CaMg6Pb6 structure.

Results
The density of states at the Fermi level comes out at 0.38 states/eV per atom. The value obtained for the volume is 351.3 Å³/cell. For the total magnetization, the calculation gives 0.00 μB per formula unit. The value obtained for the energy of formation is -0.113 eV/atom. The energy above the lowest structure with this stoichiometry is 0.000 eV per atom.

Unit cell a=8.134 b=8.134 c=8.134 alpha=134.98 beta=100.67 gamma=96.20
Element x y z (fractional)
Ca  0.000  0.000  0.000
Mg  0.000  0.000  0.500
Mg  0.000  0.500  0.000
Mg  0.246  0.500  0.746
Mg  0.500  0.000  0.000
Mg  0.500  0.500  0.500
Mg  0.754  0.500  0.254
Pb  0.167  0.667  0.500
Pb  0.337  0.337  0.000
Pb  0.338  0.000  0.338
Pb  0.662  0.000  0.662
Pb  0.663  0.663  0.000
Pb  0.833  0.333  0.500